Ta2TlSi: relaxed, PBE-GGA.

abc: 5.443 5.443 5.443
angles: 143.21 130.15 63.54
Element x y z (fractional)
Si 0.232 0.732 0.500
Ta 0.017 0.017 0.000
Ta 0.762 0.262 0.500
Tl 0.489 0.489 0.000

Summary:
* space group: Imm2 (44)
* ρ: 13.5 g/cm3
* N(E_F): 2.76 states/eV per cell
* magnetic moment: 0.0 μB/f.u.
* calculated volume: 72.9 Å³/cell
* energy relative to the elements, uncorrected: 352 meV/atom



TaTlSi2: relaxed, PBE-GGA.

abc: 2.918 5.231 4.885
angles: 90.00 90.00 90.00
Element x y z (fractional)
Si 0.000 0.000 0.000
Si 0.500 0.500 0.000
Ta 0.500 0.000 0.500
Tl 0.000 0.500 0.500

Summary:
* space group: Pmmm (47)
* energy above the lowest structure with this stoichiometry: 0.496 eV/atom
* ρ: 9.8 g/cm3
* N(E_F): 1.98 states/eV per cell
* magnetic moment: 0.0 μB/f.u.
* calculated volume: 74.6 Å³/cell
* energy relative to the elements, uncorrected: 648 meV/atom



Ta2TlSi: relaxed, PBE-GGA.

abc: 5.377 5.377 5.309
angles: 68.02 68.02 32.02
Element x y z (fractional)
Si 0.250 0.250 0.250
Ta 0.980 0.980 0.017
Ta 0.520 0.520 0.483
Tl 0.750 0.750 0.750

Summary:
* space group: C2/m (12)
* ρ: 13.2 g/cm3
* N(E_F): 2.87 states/eV per cell
* magnetic moment: 0.0 μB/f.u.
* calculated volume: 75.0 Å³/cell
* energy relative to the elements, uncorrected: 325 meV/atom



TaTlSi2: relaxed, PBE-GGA.

abc: 5.450 5.450 5.450
angles: 137.88 137.88 61.08
Element x y z (fractional)
Si 0.000 0.000 0.000
Si 0.250 0.750 0.500
Ta 0.500 0.500 0.000
Tl 0.750 0.250 0.500

Summary:
* space group: I-4m2 (119)
* energy above the lowest structure with this stoichiometry: 0.403 eV/atom
* ρ: 10.2 g/cm3
* N(E_F): 2.15 states/eV per cell
* magnetic moment: 0.0 μB/f.u.
* calculated volume: 72.0 Å³/cell
* energy relative to the elements, uncorrected: 556 meV/atom



Ta2TlSi: relaxed, PBE-GGA.

abc: 4.742 4.742 4.742
angles: 60.00 60.00 60.00
Element x y z (fractional)
Si 0.500 0.500 0.500
Ta 0.000 0.000 0.000
Ta 0.250 0.250 0.250
Tl 0.750 0.750 0.750

Summary:
* space group: F-43m (216)
* ρ: 13.1 g/cm3
* N(E_F): 2.92 states/eV per cell
* magnetic moment: 0.0 μB/f.u.
* calculated volume: 75.4 Å³/cell
* energy relative to the elements, uncorrected: 737 meV/atom



TaTlSi2: relaxed, PBE-GGA.

abc: 7.331 7.331 4.386
angles: 72.65 72.65 22.53
Element x y z (fractional)
Si 0.998 0.998 0.002
Si 0.821 0.821 0.680
Ta 0.483 0.483 0.517
Tl 0.198 0.198 0.302

Summary:
* space group: Imm2 (44)
* energy above the lowest structure with this stoichiometry: 0.147 eV/atom
* ρ: 8.5 g/cm3
* N(E_F): 1.41 states/eV per cell
* magnetic moment: 0.0 μB/f.u.
* calculated volume: 86.0 Å³/cell
* energy relative to the elements, uncorrected: 300 meV/atom



Ta2TlSi: relaxed, PBE-GGA.

abc: 5.099 5.099 2.957
angles: 90.00 90.00 109.36
Element x y z (fractional)
Si 0.000 0.500 0.500
Ta 0.000 0.000 0.000
Ta 0.500 0.500 0.000
Tl 0.500 0.000 0.500

Summary:
* space group: Cmmm (65)
* ρ: 13.6 g/cm3
* N(E_F): 1.96 states/eV per cell
* magnetic moment: 0.0 μB/f.u.
* calculated volume: 72.6 Å³/cell
* energy relative to the elements, uncorrected: 464 meV/atom



TaTlSi2: relaxed, PBE-GGA.

abc: 4.724 4.724 4.724
angles: 60.00 60.00 60.00
Element x y z (fractional)
Si 0.000 0.000 0.000
Si 0.250 0.250 0.250
Ta 0.500 0.500 0.500
Tl 0.750 0.750 0.750

Summary:
* space group: F-43m (216)
* energy above the lowest structure with this stoichiometry: 0.745 eV/atom
* ρ: 9.8 g/cm3
* N(E_F): 3.14 states/eV per cell
* magnetic moment: 0.0 μB/f.u.
* calculated volume: 74.6 Å³/cell
* energy relative to the elements, uncorrected: 898 meV/atom



TaTl3Si: relaxed, PBE-GGA.

abc: 5.233 5.233 5.233
angles: 90.00 90.00 90.00
Element x y z (fractional)
Tl 0.000 0.500 0.000
Tl 0.000 0.000 0.500
Tl 0.500 0.000 0.000
Si 0.000 0.000 0.000
Ta 0.500 0.500 0.500

Summary:
* space group: Pm-3m (221)
* energy above the lowest structure with this stoichiometry: 0.221 eV/atom
* ρ: 9.5 g/cm3
* N(E_F): 6.09 states/eV per cell
* magnetic moment: 2.6 μB/f.u.
* calculated volume: 143.3 Å³/cell
* energy relative to the elements, uncorrected: 1375 meV/atom



Ta2TlSi: relaxed, PBE-GGA.

abc: 3.043 3.043 8.223
angles: 90.00 90.00 104.62
Element x y z (fractional)
Si 0.500 0.500 0.750
Ta 0.000 0.000 0.961
Ta 0.000 0.000 0.539
Tl 0.500 0.500 0.250

Summary:
* space group: Cmmm (65)
* ρ: 13.4 g/cm3
* N(E_F): 2.79 states/eV per cell
* magnetic moment: 0.0 μB/f.u.
* calculated volume: 73.7 Å³/cell
* energy relative to the elements, uncorrected: 188 meV/atom



TaTlSi: relaxed, PBE-GGA.

abc: 7.451 7.451 7.451
angles: 157.36 157.36 32.24
Element x y z (fractional)
Si 0.978 0.978 0.000
Ta 0.350 0.350 0.000
Tl 0.672 0.672 0.000

Summary:
* space group: I4mm (107)
* energy above the lowest structure with this stoichiometry: 0.246 eV/atom
* ρ: 11.2 g/cm3
* N(E_F): 3.17 states/eV per cell
* magnetic moment: 0.0 μB/f.u.
* calculated volume: 61.3 Å³/cell
* energy relative to the elements, uncorrected: 515 meV/atom



Ta3TlSi: relaxed, PBE-GGA.

abc: 5.056 5.056 5.056
angles: 90.00 90.00 90.00
Element x y z (fractional)
Tl 0.000 0.000 0.000
Si 0.500 0.500 0.500
Ta 0.000 0.500 0.000
Ta 0.000 0.000 0.500
Ta 0.500 0.000 0.000

Summary:
* space group: Pm-3m (221)
* energy above the lowest structure with this stoichiometry: 1.697 eV/atom
* ρ: 10.0 g/cm3
* N(E_F): 10.36 states/eV per cell
* magnetic moment: 0.0 μB/f.u.
* calculated volume: 129.2 Å³/cell
* energy relative to the elements, uncorrected: 2551 meV/atom



TaTlSi2: relaxed, PBE-GGA.

abc: 4.714 4.714 4.714
angles: 60.00 60.00 60.00
Element x y z (fractional)
Tl 0.500 0.500 0.500
Si 0.250 0.250 0.250
Si 0.750 0.750 0.750
Ta 0.000 0.000 0.000

Summary:
* space group: Fm-3m (225)
* energy above the lowest structure with this stoichiometry: 0.590 eV/atom
* ρ: 9.9 g/cm3
* N(E_F): 1.56 states/eV per cell
* magnetic moment: 0.0 μB/f.u.
* calculated volume: 74.0 Å³/cell
* energy relative to the elements, uncorrected: 743 meV/atom



TaTlSi2: relaxed, PBE-GGA.

abc: 5.075 5.075 5.075
angles: 131.74 131.74 70.65
Element x y z (fractional)
Si 0.000 0.000 0.000
Si 0.500 0.500 0.000
Ta 0.250 0.750 0.500
Tl 0.750 0.250 0.500

Summary:
* space group: I4/mmm (139)
* energy above the lowest structure with this stoichiometry: 0.411 eV/atom
* ρ: 10.3 g/cm3
* N(E_F): 2.58 states/eV per cell
* magnetic moment: 0.0 μB/f.u.
* calculated volume: 71.3 Å³/cell
* energy relative to the elements, uncorrected: 564 meV/atom



Tm2Ta3Si4: relaxed, PBE-GGA.

abc: 6.838 6.990 6.997
angles: 90.00 90.00 108.90
Element x y z (fractional)
Tm 0.564 0.187 0.330
Tm 0.936 0.813 0.830
Tm 0.436 0.813 0.670
Tm 0.064 0.187 0.170
Ta 0.000 0.500 0.500
Ta 0.500 0.500 0.000
Ta 0.747 0.255 0.823
Ta 0.753 0.745 0.323
Ta 0.253 0.745 0.177
Ta 0.247 0.255 0.677
Si 0.865 0.082 0.535
Si 0.635 0.918 0.035
Si 0.135 0.918 0.465
Si 0.365 0.082 0.965
Si 0.871 0.491 0.126
Si 0.629 0.509 0.626
Si 0.129 0.509 0.874
Si 0.371 0.491 0.374

Summary:
* space group: P2_1/c (14)
* ρ: 10.4 g/cm3
* N(E_F): 7.73 states/eV per cell
* magnetic moment: 0.0 μB/f.u.
* calculated volume: 316.4 Å³/cell
* energy relative to the elements, uncorrected: -774 meV/atom